[1]
First-principles (meta-GGA SCAN) data for a crystal of ScRe2Os relaxed with PBEsol, as listed in the Alexandria database.

SG	No. 47
VASP energy	-4.2057	Ry per atom
volume	60.5	Å³/f.u.
total magnetization	0.00	μB/cell
formation energy	-0.143	eV/atom

abc: 3.070 4.366 4.518
angles: 90.00 90.00 90.00
Fractional coordinates of all 4 atoms:
Re: 0.000 0.000 0.000
Sc: 0.500 0.000 0.500
Os: 0.000 0.500 0.500
Re: 0.500 0.500 0.000


[2]
First-principles (meta-GGA SCAN) data for a crystal of ScReOs relaxed with PBEsol, as listed in the Alexandria database.

SG	No. 216
VASP energy	-3.8347	Ry per atom
volume	54.4	Å³/f.u.
total magnetization	0.00	μB/cell
formation energy	0.231	eV/atom

abc: 4.254 4.254 4.254
angles: 60.00 60.00 60.00
Fractional coordinates of all 3 atoms:
Os: 0.500 0.500 0.500
Sc: 0.000 0.000 0.000
Re: 0.250 0.250 0.250


[3]
First-principles (meta-GGA SCAN) data for a crystal of ScRe2Os relaxed with PBEsol, as listed in the Alexandria database.

SG	No. 160
VASP energy	-4.1852	Ry per atom
volume	61.9	Å³/f.u.
total magnetization	0.00	μB/cell
formation energy	0.136	eV/atom

abc: 2.819 2.819 9.137
angles: 81.13 81.13 60.00
Fractional coordinates of all 4 atoms:
Sc: 0.501 0.501 0.498
Re: 0.000 0.000 0.001
Os: 0.254 0.254 0.238
Re: 0.746 0.746 0.762


[4]
First-principles (meta-GGA SCAN) data for a crystal of ScRe2Os relaxed with PBEsol, as listed in the Alexandria database.

SG	No. 123
VASP energy	-4.1841	Ry per atom
volume	61.4	Å³/f.u.
total magnetization	0.00	μB/cell
formation energy	0.150	eV/atom

abc: 3.794 3.794 4.266
angles: 90.00 90.00 90.00
Fractional coordinates of all 4 atoms:
Sc: 0.500 0.500 0.500
Re: 0.000 0.500 0.000
Os: 0.000 0.000 0.500
Re: 0.500 0.000 0.000


[5]
First-principles (meta-GGA SCAN) data for a crystal of ScReOs relaxed with PBEsol, as listed in the Alexandria database.

SG	No. 216
VASP energy	-3.7455	Ry per atom
volume	53.7	Å³/f.u.
total magnetization	0.01	μB/cell
formation energy	1.445	eV/atom

abc: 4.236 4.236 4.236
angles: 60.00 60.00 60.00
Fractional coordinates of all 3 atoms:
Os: 0.000 0.000 0.000
Re: 0.500 0.500 0.500
Sc: 0.250 0.250 0.250


[6]
First-principles (meta-GGA SCAN) data for a crystal of ScRe2Os relaxed with PBEsol, as listed in the Alexandria database.

SG	No. 12
VASP energy	-4.1984	Ry per atom
volume	62.3	Å³/f.u.
total magnetization	0.00	μB/cell
formation energy	-0.044	eV/atom

abc: 2.867 4.579 5.144
angles: 105.60 106.18 90.00
Fractional coordinates of all 4 atoms:
Re: 0.230 0.225 0.460
Os: 0.500 0.000 0.000
Sc: 0.000 0.500 0.000
Re: 0.770 0.775 0.540


[7]
First-principles (meta-GGA SCAN) data for a crystal of ReOsSe2 relaxed with PBEsol, as listed in the Alexandria database.

SG	No. 99
VASP energy	-3.3481	Ry per atom
volume	68.0	Å³/f.u.
total magnetization	0.00	μB/cell

abc: 2.902 2.902 8.073
angles: 90.00 90.00 90.00
Fractional coordinates of all 4 atoms:
Os: 0.000 0.000 0.510
Re: 0.500 0.500 0.743
Se: 0.000 0.000 0.934
Se: 0.500 0.500 0.314


[8]
First-principles (meta-GGA SCAN) data for a crystal of ReOsSe2 relaxed with PBEsol, as listed in the Alexandria database.

SG	No. 8
VASP energy	-3.3349	Ry per atom
volume	82.5	Å³/f.u.
total magnetization	0.00	μB/cell

abc: 3.058 5.011 5.698
angles: 96.77 90.00 107.76
Fractional coordinates of all 4 atoms:
Se: 0.953 0.906 0.905
Se: 0.716 0.432 0.319
Os: 0.557 0.113 0.628
Re: 0.274 0.549 0.648


[9]
First-principles (meta-GGA SCAN) data for a crystal of ReOsSe4 relaxed with PBEsol, as listed in the Alexandria database.

SG	No. 216
VASP energy	-2.5779	Ry per atom
volume	103.1	Å³/f.u.
total magnetization	0.00	μB/cell

abc: 5.263 5.263 5.263
angles: 60.00 60.00 60.00
Fractional coordinates of all 6 atoms:
Se: 0.874 0.375 0.375
Re: 0.000 0.000 0.000
Se: 0.375 0.874 0.375
Se: 0.375 0.375 0.375
Se: 0.375 0.375 0.874
Os: 0.750 0.750 0.750


[10]
First-principles (meta-GGA SCAN) data for a crystal of ReOsSe2 relaxed with PBEsol, as listed in the Alexandria database.

SG	No. 12
VASP energy	-3.3147	Ry per atom
volume	60.2	Å³/f.u.
total magnetization	0.00	μB/cell

abc: 2.977 4.278 5.156
angles: 101.21 90.00 110.36
Fractional coordinates of all 4 atoms:
Re: 0.500 0.000 0.000
Os: 0.000 0.000 0.500
Se: 0.756 0.511 0.754
Se: 0.244 0.489 0.246


[11]
First-principles (meta-GGA SCAN) data for a crystal of ReOsSe2 relaxed with PBEsol, as listed in the Alexandria database.

SG	No. 65
VASP energy	-3.2747	Ry per atom
volume	62.6	Å³/f.u.
total magnetization	0.00	μB/cell

abc: 2.835 2.835 8.883
angles: 90.00 90.00 118.80
Fractional coordinates of all 4 atoms:
Se: 0.000 0.000 0.250
Se: 0.000 0.000 0.750
Re: 0.500 0.500 0.000
Os: 0.500 0.500 0.500


[12]
First-principles (meta-GGA SCAN) data for a crystal of Re2SiOs relaxed with PBEsol, as listed in the Alexandria database.

SG	No. 99
VASP energy	-4.1296	Ry per atom
volume	54.3	Å³/f.u.
total magnetization	0.00	μB/cell

abc: 2.863 2.863 6.625
angles: 90.00 90.00 90.00
Fractional coordinates of all 4 atoms:
Si: 0.000 0.000 0.504
Re: 0.000 0.000 0.001
Os: 0.500 0.500 0.722
Re: 0.500 0.500 0.273